1.
DFT (PBE-GGA) results for TaMo2Au after structural relaxation.

The structure belongs to space group R-3m (No. 166, hexagonal axes); the cell edges are 2.8291, 2.8291 and 29.6324 Å and the angles 90.00°, 90.00° and 120.00°. The inequivalent atoms are Ta at (0.0000, 0.0000, 0.0000), Mo at (0.0000, 0.0000, 0.2487) and Au at (0.0000, 0.0000, 0.5000).

The calculation puts the energy relative to the lowest polymorph listed for this composition at 0.290 eV per atom. As for the mass density: 13.82 g/cm3.

***

2.
DFT (PBE-GGA) results for Ta2MoAu after structural relaxation.

The structure belongs to space group Pmm2 (No. 25); the cell edges are 2.8021, 4.2506 and 5.9005 Å and the angles 90.00°, 90.00° and 90.00°. The inequivalent atoms are Ta at (0.0000, 0.0000, 0.0000), Ta at (0.5000, 0.5000, 0.2616), Mo at (0.5000, 0.5000, 0.7669) and Au at (0.0000, 0.0000, 0.5073).

The calculation puts the energy relative to the lowest polymorph listed for this composition at 0.252 eV per atom. As for the mass density: 15.47 g/cm3.

***

3.
DFT (PBE-GGA) results for TaMo2Au after structural relaxation.

The structure belongs to space group Fm-3m (No. 225); the cell edges are 6.4697, 6.4697 and 6.4697 Å and the angles 90.00°, 90.00° and 90.00°. The inequivalent atoms are Ta at (0.0000, 0.0000, 0.0000), Mo at (0.2500, 0.2500, 0.2500) and Au at (0.0000, 0.0000, 0.5000).

The calculation puts the energy relative to the lowest polymorph listed for this composition at 0.269 eV per atom. As for the mass density: 13.98 g/cm3.

***

4.
DFT (PBE-GGA) results for TaMo2Au after structural relaxation.

The structure belongs to space group I-42d (No. 122); the cell edges are 3.8455, 3.8455 and 19.8044 Å and the angles 90.00°, 90.00° and 90.00°. The inequivalent atoms are Ta at (0.0000, 0.0000, 0.0000), Mo at (0.2270, 0.2500, 0.1250) and Au at (0.0000, 0.0000, 0.5000).

The calculation puts the energy relative to the lowest polymorph listed for this composition at 0.619 eV per atom. As for the mass density: 12.92 g/cm3.

***

5.
DFT (PBE-GGA) results for TaMo2Au after structural relaxation.

The structure belongs to space group P4mm (No. 99); the cell edges are 3.3163, 3.3163 and 6.1402 Å and the angles 90.00°, 90.00° and 90.00°. The inequivalent atoms are Ta at (0.0000, 0.0000, 0.0000), Mo at (0.0000, 0.0000, 0.5288), Mo at (0.5000, 0.5000, 0.7516) and Au at (0.5000, 0.5000, 0.2560).

The calculation puts the energy relative to the lowest polymorph listed for this composition at 0.006 eV per atom. As for the mass density: 14.01 g/cm3.

***

6.
DFT (PBE-GGA) results for Ta2MoAu after structural relaxation.

The structure belongs to space group P4/mmm (No. 123); the cell edges are 4.4088, 4.4088 and 3.5668 Å and the angles 90.00°, 90.00° and 90.00°. The inequivalent atoms are Ta at (0.0000, 0.5000, 0.0000), Mo at (0.0000, 0.0000, 0.5000) and Au at (0.5000, 0.5000, 0.5000).

The calculation puts the energy relative to the lowest polymorph listed for this composition at 0.067 eV per atom. As for the mass density: 15.68 g/cm3.